VASP calculation (PBE) on a relaxed structure of Tb2DyScS4.

Values from the calculation:
Theoretical density (g cm⁻³): 6.63
Space-group type: No. 10
VASP energy (eV/atom): -6.54
Magnetization (μB/f.u.): 0.00

a b c (Å): 3.8372 6.7032 6.7335
angles (deg): 109.11 90.00 90.00
Positions (direct):
Tb1 0.0000 0.5000 0.5000
Dy1 0.5000 0.5000 0.0000
S1 0.0000 0.2454 0.7574
S2 0.0000 0.7546 0.2426
S3 0.5000 0.7612 0.7626
Sc1 0.0000 0.0000 0.0000
S4 0.5000 0.2388 0.2374
Tb2 0.5000 0.0000 0.5000